[1]
Density functional theory data (PBE) for a relaxed structure of HgPb4Se5.

Properties
E_tot (eV per cell): -37.01
Total moment (μB/f.u.): 0.00
Volume (A^3/atom): 28.973
Crystal system: tetragonal
DOS at the Fermi energy (states/eV/cell): 0.8
Formation energy without anion corrections (eV/atom): -0.445

POSCAR file:
```
HgPb4Se5
1.0
-2.182 2.182 15.215
2.182 -2.182 15.215
2.182 2.182 -15.215
Hg Pb Se
1 4 5
direct
0.000 0.000 0.000
0.200 0.200 0.000
0.404 0.404 0.000
0.596 0.596 0.000
0.800 0.800 0.000
0.094 0.094 0.000
0.299 0.299 0.000
0.500 0.500 0.000
0.701 0.701 0.000
0.906 0.906 0.000
```

[2]
Density functional theory data (PBE) for a relaxed structure of HgPb2Se.

Properties
E_tot (eV per cell): -10.95
ΔE to the lowest computed polymorph (meV/atom): 242
Total moment (μB/f.u.): 0.00
Volume (A^3/atom): 27.752
Crystal system: cubic
DOS at the Fermi energy (states/eV/cell): 2.2
Formation energy without anion corrections (eV/atom): 0.064

POSCAR file:
```
HgPb2Se
1.0
0.000 3.815 3.815
3.815 0.000 3.815
3.815 3.815 0.000
Hg Pb Se
1 2 1
direct
0.000 0.000 0.000
0.500 0.500 0.500
0.750 0.750 0.750
0.250 0.250 0.250
```

[3]
Density functional theory data (PBE) for a relaxed structure of Hg2PbSe2.

Properties
E_tot (eV per cell): -11.25
ΔE to the lowest computed polymorph (meV/atom): 115
Total moment (μB/f.u.): 0.00
Volume (A^3/atom): 27.450
Crystal system: tetragonal
DOS at the Fermi energy (states/eV/cell): 3.1
Formation energy without anion corrections (eV/atom): 0.007

POSCAR file:
```
Hg2PbSe2
1.0
-2.726 2.726 4.617
2.726 -2.726 4.617
2.726 2.726 -4.617
Hg Pb Se
2 1 2
direct
0.147 0.147 0.000
0.853 0.853 0.000
0.500 0.500 0.000
0.250 0.750 0.500
0.750 0.250 0.500
```

[4]
Density functional theory data (PBE) for a relaxed structure of Sn2HgPbSe6.

Properties
E_tot (eV per cell): -71.88
Total moment (μB/f.u.): 0.00
Volume (A^3/atom): 32.990
Crystal system: monoclinic
Formation energy without anion corrections (eV/atom): -0.302

POSCAR file:
```
Sn2HgPbSe6
1.0
7.054 -6.705 0.000
7.054 6.705 0.000
-2.561 0.000 6.975
Sn Hg Pb Se
4 2 2 12
direct
0.128 0.270 0.222
0.270 0.128 0.722
0.730 0.872 0.278
0.872 0.730 0.778
0.228 0.772 0.250
0.772 0.228 0.750
0.388 0.612 0.750
0.612 0.388 0.250
0.047 0.196 0.493
0.109 0.619 0.922
0.196 0.047 0.993
0.320 0.462 0.323
0.381 0.891 0.578
0.462 0.320 0.823
0.538 0.680 0.177
0.619 0.109 0.422
0.680 0.538 0.677
0.804 0.953 0.007
0.891 0.381 0.078
0.953 0.804 0.507
```